Record 1
This record from the Alexandria database describes a geometry-optimized MgTcSe2 structure. The functional is PBE-GGA.

a = 5.9100 Å, b = 5.9100 Å, c = 6.9735 Å
α = 64.93°, β = 64.93°, γ = 90.00°
Positions (direct):
Se 0.3750 0.3495 0.7500
Se 0.0995 0.6250 0.2500
Se 0.6505 0.1250 0.2500
Tc 0.7500 0.2500 0.5000
Se 0.8750 0.9005 0.7500
Mg 0.5000 0.5000 0.0000
Tc 0.0000 0.0000 0.0000
Mg 0.2500 0.7500 0.5000

**VASP energy**: -0.364 Ry/atom

=====

Record 2
This record from the Alexandria database describes a geometry-optimized MgTcSe structure. The functional is PBE-GGA.

a = 3.2290 Å, b = 3.2290 Å, c = 6.2315 Å
α = 90.00°, β = 90.00°, γ = 120.00°
Positions (direct):
Mg 0.0000 0.0000 0.9761
Se 0.3333 0.6667 0.3863
Tc 0.6667 0.3333 0.6376

**Energy above the lowest structure with this stoichiometry**: 28 meV per atom

=====

Record 3
This record from the Alexandria database describes a geometry-optimized MgTcSe2 structure. The functional is PBE-GGA.

a = 9.1808 Å, b = 9.1808 Å, c = 9.1808 Å
α = 20.53°, β = 20.53°, γ = 20.53°
Positions (direct):
Mg 0.0000 0.0000 0.0000
Se 0.1032 0.1032 0.1032
Se 0.8968 0.8968 0.8968
Tc 0.5000 0.5000 0.5000

**VASP energy**: -0.359 Ry/atom

=====

Quick rundown of volume, same order as above: 24.4; 18.8; 20.8 Å³/atom
Quick rundown of total magnetic moment, same order as above: 0.0; 0.0; 0.0 μB per formula unit